# Ca3BMo

A relaxed structure of Ca3BMo (PBE, Alexandria).

```
5
Lattice="5.234 0.000 0.000 0.000 5.234 0.000 0.000 0.000 5.234" Properties=species:S:1:pos:R:3 pbc="T T T"
Ca 0.000 0.000 2.617
Ca 0.000 2.617 0.000
Ca 2.617 0.000 0.000
B 0.000 0.000 0.000
Mo 2.617 2.617 2.617
```

Properties
Total magnetic moment   0.793 μB/atom
D(E_F)   4.70 states/eV/f.u.
SG   Pm-3m, No. 221
Excess energy over the best structure of this formula in the dataset   0 meV per atom

---

# Ca2BMoN

A relaxed structure of Ca2BMoN (PBE, Alexandria).

```
5
Lattice="5.637 0.000 0.000 0.000 5.637 0.000 0.000 0.000 3.840" Properties=species:S:1:pos:R:3 pbc="T T T"
Ca 0.000 2.819 0.000
Ca 2.819 0.000 0.000
B 0.000 0.000 1.920
Mo 2.819 2.819 0.000
N 2.819 2.819 1.920
```

Properties
Total magnetic moment   0.415 μB/atom
ΔE_f (raw)   1.1215 eV per atom
D(E_F)   5.50 states/eV/f.u.
SG   P4/mmm, No. 123

---

# NaCaBMo2

A relaxed structure of NaCaBMo2 (PBE, Alexandria).

```
5
Lattice="4.270 0.000 0.000 0.000 4.270 0.000 0.000 0.000 5.150" Properties=species:S:1:pos:R:3 pbc="T T T"
Na 0.000 0.000 0.000
Ca 2.135 2.135 0.000
B 0.000 0.000 2.575
Mo 0.000 2.135 2.575
Mo 2.135 0.000 2.575
```

Properties
Total magnetic moment   0.000 μB/atom
E_tot   -0.2081 Ha/atom
D(E_F)   6.11 states/eV/f.u.
SG   P4/mmm, No. 123

---

# CaNi2BMo

A relaxed structure of CaNi2BMo (PBE, Alexandria).

```
5
Lattice="4.460 0.000 0.000 0.000 4.460 0.000 0.000 0.000 5.456" Properties=species:S:1:pos:R:3 pbc="T T T"
Ca 0.000 0.000 0.000
Ni 0.000 2.230 2.728
Ni 2.230 0.000 2.728
B 2.230 2.230 0.000
Mo 0.000 0.000 2.728
```

Properties
Total magnetic moment   0.000 μB/atom
E_tot   -0.1602 Ha/atom
D(E_F)   5.46 states/eV/f.u.
SG   P4/mmm, No. 123